1.
Crystalline HfTaTiVGa at its relaxed geometry, computed with PBE.

a b c (Å): 3.1896 5.3858 6.0316
angles (deg): 67.49 90.01 72.73
Closest atoms and distances in Å follow each position.
Atoms (fractional coordinates):
Ti 0.1056 0.5502 0.1736  2 V 2.58-2.59, 2 Ga 2.67-2.68, 3 Ta 2.87-2.89
V 0.4308 0.8998 0.8561  2 Ga 2.55, 2 Ti 2.58-2.59, 2 Ta 2.67-2.68, 2 Hf 2.76-2.77
Hf 0.0697 0.6201 0.6470  2 V 2.76-2.77, 3 Ga 2.88-2.89, 2 Ti 3.02-3.05
Ga 0.7691 0.2227 0.5329  2 V 2.55, 2 Ti 2.67-2.68
Ta 0.8062 0.1512 0.0670  2 V 2.67-2.68, 3 Ti 2.87-2.89, 1 Ga 2.98

Summary:
As for the space group: No. 8. The value obtained for the formation energy is 64 kJ/mol of formula units.


2.
Crystalline HAuF at its relaxed geometry, computed with PBE.

a b c (Å): 5.7107 4.6003 7.4984
angles (deg): 105.37 90.00 90.00
Closest atoms and distances in Å follow each position.
Atoms (fractional coordinates):
H 0.2338 0.0747 0.0002  1 F 0.98
H 0.7338 0.4253 0.9998  1 F 0.98
H 0.7662 0.9253 0.9998  1 F 0.98
H 0.2662 0.5747 0.0002  1 F 0.98
Au 0.1249 0.7500 0.5000  6 Au 2.71-2.86
Au 0.6249 0.7500 0.5000  6 Au 2.71-2.86
Au 0.8751 0.2500 0.5000  6 Au 2.71-2.86
Au 0.3751 0.2500 0.5000  6 Au 2.71-2.86
F 0.1562 0.2640 0.0000  1 H 0.98
F 0.6562 0.2360 0.0000  1 H 0.98
F 0.8438 0.7360 0.0000  1 H 0.98
F 0.3438 0.7640 0.0000  1 H 0.98

Summary:
As for the total energy: -45.37 eV/cell. As for the space group: No. 14.


3.
Crystalline Li3Sm2MnS6 at its relaxed geometry, computed with PBE.

a b c (Å): 6.7001 6.7001 6.4975
angles (deg): 99.53 99.53 120.22
Closest atoms and distances in Å follow each position.
Atoms (fractional coordinates):
Li 0.1563 0.8437 0.5000  4 S 2.60-2.61
Li 0.8437 0.1563 0.5000  4 S 2.60-2.61
Li 0.5000 0.5000 0.5000  4 S 2.63
Sm 0.3304 0.6696 0.0000  6 S 2.77-2.80
Sm 0.6696 0.3304 0.0000  6 S 2.77-2.80
Mn 0.0000 0.0000 0.0000  6 S 2.42-2.60
S 0.9139 0.6059 0.7454  1 Mn 2.60, 2 Li 2.61-2.63, 2 Sm 2.77-2.78
S 0.7819 0.7819 0.2330  1 Mn 2.42, 2 Li 2.60
S 0.0861 0.3941 0.2546  1 Mn 2.60, 2 Li 2.61-2.63, 2 Sm 2.77-2.78
S 0.6059 0.9139 0.7454  1 Mn 2.60, 2 Li 2.61-2.63, 2 Sm 2.77-2.78
S 0.2181 0.2181 0.7670  1 Mn 2.42, 2 Li 2.60
S 0.3941 0.0861 0.2546  1 Mn 2.60, 2 Li 2.61-2.63, 2 Sm 2.77-2.78

Summary:
As for the space group: No. 12. As for the uncorrected formation energy: -1.441 eV per atom.


4.
Crystalline LiLa2Sn4Rh3 at its relaxed geometry, computed with PBE.

a b c (Å): 4.6335 4.6335 10.4631
angles (deg): 90.00 90.00 90.00
Closest atoms and distances in Å follow each position.
Atoms (fractional coordinates):
Li 0.5000 0.5000 0.5000  4 Sn 2.66
La 0.5000 0.0000 0.2523  2 Li 3.48, 6 Rh 3.48-3.53, 8 Sn 3.51-3.52
La 0.0000 0.5000 0.7477  2 Li 3.48, 6 Rh 3.48-3.53, 8 Sn 3.51-3.52
Sn 0.5000 0.5000 0.0000  4 Rh 2.67
Sn 0.0000 0.0000 0.0000  4 Rh 2.67
Sn 0.5000 0.0000 0.6250  3 Rh 2.59-2.66, 2 Li 2.66
Sn 0.0000 0.5000 0.3750  3 Rh 2.59-2.66, 2 Li 2.66
Rh 0.0000 0.0000 0.5000  4 Sn 2.66
Rh 0.5000 0.0000 0.8726  5 Sn 2.59-2.67
Rh 0.0000 0.5000 0.1274  5 Sn 2.59-2.67

Summary:
As for the space group: No. 115. The value obtained for the formation energy is -685 kJ/mol of formula units.